Entry 1:
Density functional theory data (PBE-GGA) for KNi3Br after structural relaxation.

## Properties
Magnetization   1.66 μB/cell
Crystal system   cubic
Symmetry   No. 221
E_form (uncorrected)   46.1 kcal/mol of atoms
VASP energy   -2.025 eV/atom

```
data_KNi3Br
_cell_length_a 4.832
_cell_length_b 4.832
_cell_length_c 4.832
_cell_angle_alpha 90.00
_cell_angle_beta 90.00
_cell_angle_gamma 90.00
_space_group_name_H-M_alt 'P 1'
_space_group_IT_number 1
_space_group_name_Hall 'P 1'
loop_
_atom_site_label
_atom_site_type_symbol
_atom_site_fract_x
_atom_site_fract_y
_atom_site_fract_z
Ni1 Ni 0.000 0.500 0.000
Ni2 Ni 0.000 0.000 0.500
Ni3 Ni 0.500 0.000 0.000
K1 K 0.000 0.000 0.000
Br1 Br 0.500 0.500 0.500
```

=====

Entry 2:
Density functional theory data (PBE-GGA) for KNiBr after structural relaxation.

## Properties
Magnetization   0.00 μB/cell
Crystal system   hexagonal
Symmetry   No. 187
E_form (uncorrected)   -5.8 kcal/mol of atoms
VASP energy   -3.101 eV/atom

```
data_KNiBr
_cell_length_a 4.160
_cell_length_b 4.160
_cell_length_c 4.944
_cell_angle_alpha 90.00
_cell_angle_beta 90.00
_cell_angle_gamma 120.00
_space_group_name_H-M_alt 'P 1'
_space_group_IT_number 1
_space_group_name_Hall 'P 1'
loop_
_atom_site_label
_atom_site_type_symbol
_atom_site_fract_x
_atom_site_fract_y
_atom_site_fract_z
Ni1 Ni 0.333 0.667 0.000
K1 K 0.667 0.333 0.500
Br1 Br 0.000 0.000 0.000
```